(1)
Density functional theory data (GGA+U) for a geometry-optimized Nb3NiP6O24 structure.

Lattice parameters (Å, degrees): 9.0507 9.0507 9.0507 57.72 57.72 57.72
Each line ends with the local moment (μB).
Positions (direct):
P: 0.0305 0.4763 0.7488  0.01
O: 0.7189 0.8651 0.4988  -0.01
O: 0.2125 0.4158 0.5892  -0.03
O: 0.9321 0.0474 0.3051  -0.01
O: 0.9930 0.3558 0.2369  -0.02
O: 0.5892 0.2125 0.4158  -0.03
O: 0.3558 0.2369 0.9930  -0.02
O: 0.7864 0.5730 0.4144  -0.01
P: 0.4763 0.7488 0.0305  0.01
O: 0.0642 0.9629 0.7005  -0.09
O: 0.5730 0.4144 0.7864  -0.01
P: 0.5373 0.2425 0.9667  0.01
Ni: 0.8552 0.8552 0.8552  1.73
Nb: 0.3579 0.3579 0.3579  0.02
P: 0.9667 0.5373 0.2425  0.01
P: 0.7488 0.0305 0.4763  0.01
O: 0.4144 0.7864 0.5730  -0.01
O: 0.0474 0.3051 0.9321  -0.01
O: 0.4948 0.2925 0.1286  -0.04
O: 0.7005 0.0642 0.9629  -0.09
O: 0.2925 0.1286 0.4948  -0.04
O: 0.7450 0.0197 0.6497  -0.06
O: 0.9629 0.7005 0.0642  -0.09
O: 0.4988 0.7189 0.8651  -0.01
O: 0.4158 0.5892 0.2125  -0.03
O: 0.6497 0.7450 0.0197  -0.06
O: 0.2369 0.9930 0.3558  -0.02
O: 0.3051 0.9321 0.0474  -0.01
P: 0.2425 0.9667 0.5373  0.01
Nb: 0.1421 0.1421 0.1421  0.01
O: 0.8651 0.4988 0.7189  -0.01
O: 0.0197 0.6497 0.7450  -0.06
Nb: 0.6402 0.6402 0.6402  0.01
O: 0.1286 0.4948 0.2925  -0.04

* space group: R3
* spin magnetization: 0.803 μB/f.u.
* final energy: -259.7 eV per cell

***

(2)
Density functional theory data (GGA+U) for a geometry-optimized NbNiP2O structure.

Lattice parameters (Å, degrees): 4.4676 4.4676 3.5142 90.00 90.00 90.00
Each line ends with the local moment (μB).
Positions (direct):
P: 0.5000 0.0000 0.0000  -0.05
P: 0.0000 0.5000 0.0000  -0.05
Nb: 0.5000 0.5000 0.5000  0.50
O: 0.0000 0.0000 0.5000  -0.04
Ni: 0.0000 0.0000 0.0000  0.25

* space group: P4/mmm
* spin magnetization: 0.632 μB/f.u.
* final energy: -27.0 eV per cell
* ΔE to the lowest computed polymorph: 262 meV per atom

***

(3)
Density functional theory data (GGA+U) for a geometry-optimized NbNiP2O structure.

Lattice parameters (Å, degrees): 4.9481 4.9481 3.8548 90.00 90.00 90.00
Each line ends with the local moment (μB).
Positions (direct):
P: 0.5000 0.0000 0.0000  -0.03
Ni: 0.5000 0.5000 0.5000  1.03
Nb: 0.0000 0.0000 0.0000  0.02
O: 0.0000 0.0000 0.5000  -0.01
P: 0.0000 0.5000 0.0000  -0.03

* space group: P4/mmm
* spin magnetization: 0.930 μB/f.u.
* final energy: -28.3 eV per cell
* ΔE to the lowest computed polymorph: 0 meV per atom

***

(4)
Density functional theory data (GGA+U) for a geometry-optimized NbNiPO2 structure.

Lattice parameters (Å, degrees): 3.7231 3.7231 4.4265 90.00 90.00 90.00
Each line ends with the local moment (μB).
Positions (direct):
Ni: 0.0000 0.0000 0.0000  0.88
O: 0.5000 0.0000 0.0000  -0.07
P: 0.0000 0.0000 0.5000  -0.06
O: 0.0000 0.5000 0.0000  -0.07
Nb: 0.5000 0.5000 0.5000  0.68

* space group: P4/mmm
* spin magnetization: 1.404 μB/f.u.
* final energy: -28.5 eV per cell
* ΔE to the lowest computed polymorph: 863 meV per atom

***

(5)
Density functional theory data (GGA+U) for a geometry-optimized PaNbNiO6 structure.

Lattice parameters (Å, degrees): 5.1998 5.1998 9.7659 90.00 90.00 120.00
Each line ends with the local moment (μB).
Positions (direct):
Ni: 0.6667 0.3333 0.7500  1.76
Nb: 0.3333 0.6667 0.7500  0.01
O: 0.3464 0.3346 0.3662  0.02
O: 0.6536 0.9883 0.8662  0.02
O: 0.3346 0.9883 0.6338  0.02
O: 0.3464 0.0117 0.1338  0.02
Pa: 0.0000 0.0000 0.0000  0.05
O: 0.6654 0.0117 0.3662  0.02
Nb: 0.6667 0.3333 0.2500  0.01
O: 0.0117 0.6654 0.8662  0.02
O: 0.0117 0.3464 0.6338  0.02
Pa: 0.0000 0.0000 0.5000  0.05
O: 0.6654 0.6536 0.1338  0.02
O: 0.6536 0.6654 0.6338  0.02
O: 0.9883 0.6536 0.3662  0.02
O: 0.9883 0.3346 0.1338  0.02
Ni: 0.3333 0.6667 0.2500  1.76
O: 0.3346 0.3464 0.8662  0.02

* space group: P-31c
* spin magnetization: 1.972 μB/f.u.
* final energy: -150.9 eV per cell

***

(6)
Density functional theory data (GGA+U) for a geometry-optimized NbNiPb2O6 structure.

Lattice parameters (Å, degrees): 5.7025 5.6920 5.6930 119.70 119.93 90.24
Each line ends with the local moment (μB).
Positions (direct):
O: 0.3559 0.2575 0.1000  -0.01
O: 0.6624 0.7444 0.9207  0.02
O: 0.7874 0.2968 0.9855  0.01
Pb: 0.7742 0.2524 0.5205  -0.02
O: 0.1970 0.2052 0.5078  0.01
Ni: 0.0005 0.0007 0.0000  1.78
Pb: 0.2371 0.7510 0.4836  0.00
O: 0.7853 0.8036 0.4910  0.01
O: 0.1948 0.6876 0.9893  0.01
Nb: 0.5044 0.5046 0.9996  0.05

* space group: P1
* spin magnetization: 1.862 μB/f.u.
* final energy: -65.0 eV per cell

***

(7)
Density functional theory data (GGA+U) for a geometry-optimized PmNbNi2O6 structure.

Lattice parameters (Å, degrees): 5.3823 5.3825 5.7226 61.94 61.93 60.01
Each line ends with the local moment (μB).
Positions (direct):
Ni: 0.0172 0.0171 0.9485  1.77
Pm: 0.7983 0.7983 0.6052  0.00
O: 0.5962 0.2439 0.2297  0.05
O: 0.2439 0.9302 0.2297  0.05
Nb: 0.3127 0.3127 0.0619  0.04
Ni: 0.5179 0.5180 0.4462  1.77
O: 0.1603 0.3689 0.7548  0.07
O: 0.9302 0.5963 0.2296  0.05
O: 0.7159 0.1604 0.7548  0.07
O: 0.3690 0.7159 0.7548  0.07

* space group: R3
* spin magnetization: 4.000 μB/f.u.
* final energy: -71.4 eV per cell

***

(8)
Density functional theory data (GGA+U) for a geometry-optimized NbNiPtO2 structure.

Lattice parameters (Å, degrees): 3.7692 4.7425 3.7692 90.00 90.00 90.00
Each line ends with the local moment (μB).
Positions (direct):
Ni: 0.0000 0.0000 0.0000  1.14
O: 0.0000 0.0000 0.5000  -0.02
Nb: 0.5000 0.5000 0.5000  -0.14
O: 0.5000 0.0000 0.0000  -0.09
Pt: 0.0000 0.5000 0.0000  0.02

* space group: P4/mmm
* spin magnetization: 0.864 μB/f.u.
* final energy: -28.1 eV per cell

***

(9)
Density functional theory data (GGA+U) for a geometry-optimized NbNiPtO6 structure.

Lattice parameters (Å, degrees): 4.7228 4.7228 9.2977 90.00 90.00 90.00
Each line ends with the local moment (μB).
Positions (direct):
O: 0.7954 0.2046 0.8407  0.06
O: 0.3108 0.3108 0.6653  0.08
O: 0.6892 0.6892 0.6653  0.08
O: 0.2954 0.2954 0.3407  0.06
O: 0.8108 0.1892 0.1653  0.08
O: 0.6945 0.6945 0.9969  0.11
Pt: 0.0000 0.0000 0.3337  0.19
O: 0.2046 0.7954 0.8407  0.06
Nb: 0.5000 0.5000 0.4938  0.01
Ni: 0.5000 0.5000 0.1667  1.77
O: 0.8055 0.1945 0.4969  0.11
O: 0.7046 0.7046 0.3407  0.06
Nb: 0.0000 0.0000 0.9938  0.01
O: 0.1945 0.8055 0.4969  0.11
Ni: 0.0000 0.0000 0.6667  1.77
Pt: 0.5000 0.5000 0.8337  0.19
O: 0.3055 0.3055 0.9969  0.11
O: 0.1892 0.8108 0.1653  0.08

* space group: P4_2nm
* spin magnetization: 2.545 μB/f.u.
* final energy: -121.0 eV per cell

***

(10)
Density functional theory data (GGA+U) for a geometry-optimized RbNbNiO4 structure.

Lattice parameters (Å, degrees): 5.5504 5.9554 8.3699 90.00 87.92 90.00
Each line ends with the local moment (μB).
Positions (direct):
Rb: 0.8102 0.7500 0.9510  0.00
O: 0.1744 0.9949 0.3770  0.04
O: 0.3027 0.7500 0.0681  0.00
O: 0.1744 0.5051 0.3770  0.04
Ni: 0.0858 0.2500 0.5206  1.76
O: 0.8256 0.4949 0.6230  0.04
Rb: 0.1898 0.2500 0.0490  0.00
O: 0.3167 0.2500 0.6924  0.02
Ni: 0.9142 0.7500 0.4794  1.76
Nb: 0.3511 0.7500 0.2837  0.03
O: 0.6833 0.7500 0.3076  0.02
Nb: 0.6489 0.2500 0.7163  0.03
O: 0.8256 0.0051 0.6230  0.04
O: 0.6973 0.2500 0.9319  0.00

* space group: P2_1/m
* spin magnetization: 1.925 μB/f.u.
* final energy: -94.1 eV per cell

***

> Which of these has the lowest final energy?

Nb3NiP6O24